LaDyIr | PBE | relaxed

Lattice parameters (Å, degrees): 4.1887 4.1887 6.3619 90.00 90.00 120.00
Element x y z (fractional)
La (0.0000, 0.0000, 0.0000)
Dy (0.6667, 0.3333, 0.5456)
Ir (0.3333, 0.6667, 0.7624)

Energy of formation (eV/f.u.): -1.7
Energy above the most stable polymorph in this dataset (eV/atom): 0.051
Calculated volume (Å³/f.u.): 96.7
Symmetry: P3m1, No. 156
Electronic total energy (eV/atom): -6.710